! LaCd2Cu SCAN PBEsol geometry; values from VASP
&SYSTEM
  ibrav = 0, nat = 16, ntyp = 3
/
ATOMIC_SPECIES
La 138.91 La.upf
Cd 112.41 Cd.upf
Cu 63.55 Cu.upf
CELL_PARAMETERS angstrom
7.0275 0.0000 0.0000
0.0000 7.0275 0.0000
0.0000 0.0000 7.0275
ATOMIC_POSITIONS crystal
La 0.0000 0.0000 0.0000
La 0.0000 0.5000 0.5000
La 0.5000 0.0000 0.5000
La 0.5000 0.5000 0.0000
Cd 0.0000 0.0000 0.5000
Cd 0.0000 0.5000 0.0000
Cd 0.2500 0.2500 0.7500
Cd 0.2500 0.7500 0.2500
Cd 0.5000 0.0000 0.0000
Cd 0.5000 0.5000 0.5000
Cd 0.7500 0.2500 0.2500
Cd 0.7500 0.7500 0.7500
Cu 0.2500 0.2500 0.2500
Cu 0.2500 0.7500 0.7500
Cu 0.7500 0.2500 0.7500
Cu 0.7500 0.7500 0.2500
! SG: F-43m
! Density of states at the Fermi level in states/eV/cell: 7.92
! ΔH_f (0 K) in meV/atom: -237.8
! Total moment in Bohr magnetons per cell: 0.00

=====

! LaCdCuW2 SCAN PBEsol geometry; values from VASP
&SYSTEM
  ibrav = 0, nat = 5, ntyp = 4
/
ATOMIC_SPECIES
La 138.91 La.upf
Cd 112.41 Cd.upf
Cu 63.55 Cu.upf
W 183.84 W.upf
CELL_PARAMETERS angstrom
4.6133 0.0000 0.0000
0.0000 4.6133 0.0000
0.0000 0.0000 5.2196
ATOMIC_POSITIONS crystal
La 0.0000 0.0000 0.0000
Cd 0.5000 0.5000 0.0000
Cu 0.0000 0.0000 0.5000
W 0.0000 0.5000 0.5000
W 0.5000 0.0000 0.5000
! SG: P4/mmm
! Density of states at the Fermi level in states/eV/cell: 5.04
! ΔH_f (0 K) in meV/atom: 1462.5
! Total moment in Bohr magnetons per cell: 0.00

=====

! Li2CdCu SCAN PBEsol geometry; values from VASP
&SYSTEM
  ibrav = 0, nat = 4, ntyp = 3
/
ATOMIC_SPECIES
Li 6.94 Li.upf
Cd 112.41 Cd.upf
Cu 63.55 Cu.upf
CELL_PARAMETERS angstrom
2.9396 0.0000 0.0000
0.0000 2.9396 0.0000
0.0000 0.0000 6.8841
ATOMIC_POSITIONS crystal
Li 0.0000 0.0000 0.2161
Li 0.0000 0.0000 0.7839
Cd 0.5000 0.5000 0.5000
Cu 0.5000 0.5000 0.0000
! SG: P4/mmm
! Density of states at the Fermi level in states/eV/cell: 1.15
! ΔH_f (0 K) in meV/atom: -85.1
! Total moment in Bohr magnetons per cell: 0.00

=====

! LiCd2Cu SCAN PBEsol geometry; values from VASP
&SYSTEM
  ibrav = 0, nat = 4, ntyp = 3
/
ATOMIC_SPECIES
Li 6.94 Li.upf
Cd 112.41 Cd.upf
Cu 63.55 Cu.upf
CELL_PARAMETERS angstrom
2.8226 0.0000 0.0000
0.0000 4.3560 0.0000
-1.3170 0.0000 5.2289
ATOMIC_POSITIONS crystal
Li 0.0000 0.0000 0.0000
Cd 0.2788 0.0000 0.5410
Cd 0.6069 0.5000 0.2149
Cu 0.8806 0.5000 0.7498
! SG: Pm
! Density of states at the Fermi level in states/eV/cell: 1.10
! ΔH_f (0 K) in meV/atom: -82.6
! Total moment in Bohr magnetons per cell: 0.00

=====

! LiCdCu2 SCAN PBEsol geometry; values from VASP
&SYSTEM
  ibrav = 0, nat = 4, ntyp = 3
/
ATOMIC_SPECIES
Li 6.94 Li.upf
Cd 112.41 Cd.upf
Cu 63.55 Cu.upf
CELL_PARAMETERS angstrom
3.7289 0.0000 0.0000
0.0000 3.7289 0.0000
0.0000 0.0000 3.9273
ATOMIC_POSITIONS crystal
Li 0.0000 0.0000 0.0000
Cd 0.5000 0.5000 0.0000
Cu 0.0000 0.5000 0.5000
Cu 0.5000 0.0000 0.5000
! SG: P4/mmm
! Density of states at the Fermi level in states/eV/cell: 1.19
! ΔH_f (0 K) in meV/atom: -22.9
! Total moment in Bohr magnetons per cell: 0.00

=====

! Li2CdCu SCAN PBEsol geometry; values from VASP
&SYSTEM
  ibrav = 0, nat = 16, ntyp = 3
/
ATOMIC_SPECIES
Li 6.94 Li.upf
Cd 112.41 Cd.upf
Cu 63.55 Cu.upf
CELL_PARAMETERS angstrom
3.6982 0.0000 0.0000
0.0000 3.6982 0.0000
0.0000 0.0000 19.1451
ATOMIC_POSITIONS crystal
Li 0.2368 0.2500 0.1250
Li 0.2500 0.7368 0.3750
Li 0.2500 0.7632 0.8750
Li 0.2632 0.2500 0.6250
Li 0.7368 0.7500 0.6250
Li 0.7500 0.2368 0.8750
Li 0.7500 0.2632 0.3750
Li 0.7632 0.7500 0.1250
Cd 0.0000 0.0000 0.5000
Cd 0.0000 0.5000 0.7500
Cd 0.5000 0.0000 0.2500
Cd 0.5000 0.5000 0.0000
Cu 0.0000 0.0000 0.0000
Cu 0.0000 0.5000 0.2500
Cu 0.5000 0.0000 0.7500
Cu 0.5000 0.5000 0.5000
! SG: I-42d
! Density of states at the Fermi level in states/eV/cell: 4.92
! ΔH_f (0 K) in meV/atom: 67.6
! Total moment in Bohr magnetons per cell: 0.00

=====

! LiCd2Cu SCAN PBEsol geometry; values from VASP
&SYSTEM
  ibrav = 0, nat = 8, ntyp = 3
/
ATOMIC_SPECIES
Li 6.94 Li.upf
Cd 112.41 Cd.upf
Cu 63.55 Cu.upf
CELL_PARAMETERS angstrom
3.9539 0.0000 0.0000
0.0000 3.9539 0.0000
0.0000 0.0000 8.2728
ATOMIC_POSITIONS crystal
Li 0.0000 0.0000 0.0000
Li 0.5000 0.5000 0.5000
Cd 0.0000 0.0000 0.5000
Cd 0.0000 0.5000 0.2500
Cd 0.5000 0.0000 0.7500
Cd 0.5000 0.5000 0.0000
Cu 0.0000 0.5000 0.7500
Cu 0.5000 0.0000 0.2500
! SG: I-4m2
! Density of states at the Fermi level in states/eV/cell: 2.49
! ΔH_f (0 K) in meV/atom: -92.7
! Total moment in Bohr magnetons per cell: 0.00

=====

! Li2CdCu SCAN PBEsol geometry; values from VASP
&SYSTEM
  ibrav = 0, nat = 8, ntyp = 3
/
ATOMIC_SPECIES
Li 6.94 Li.upf
Cd 112.41 Cd.upf
Cu 63.55 Cu.upf
CELL_PARAMETERS angstrom
3.8818 0.0000 0.0000
0.0000 3.8818 0.0000
0.0000 0.0000 7.9340
ATOMIC_POSITIONS crystal
Li 0.0000 0.5000 0.2500
Li 0.0000 0.5000 0.7500
Li 0.5000 0.0000 0.2500
Li 0.5000 0.0000 0.7500
Cd 0.0000 0.0000 0.0000
Cd 0.5000 0.5000 0.5000
Cu 0.0000 0.0000 0.5000
Cu 0.5000 0.5000 0.0000
! SG: I4/mmm
! Density of states at the Fermi level in states/eV/cell: 2.51
! ΔH_f (0 K) in meV/atom: -104.6
! Total moment in Bohr magnetons per cell: 0.00

=====

! Li2CdCu SCAN PBEsol geometry; values from VASP
&SYSTEM
  ibrav = 0, nat = 4, ntyp = 3
/
ATOMIC_SPECIES
Li 6.94 Li.upf
Cd 112.41 Cd.upf
Cu 63.55 Cu.upf
CELL_PARAMETERS angstrom
2.8176 0.0000 0.0000
0.0000 3.8800 0.0000
0.0000 0.0000 5.6186
ATOMIC_POSITIONS crystal
Li 0.0000 0.0000 0.0000
Li 0.5000 0.5000 0.2657
Cd 0.0000 0.0000 0.5281
Cu 0.5000 0.5000 0.7707
! SG: Pmm2
! Density of states at the Fermi level in states/eV/cell: 1.01
! ΔH_f (0 K) in meV/atom: -86.7
! Total moment in Bohr magnetons per cell: 0.00

=====

! Li2CdCu SCAN PBEsol geometry; values from VASP
&SYSTEM
  ibrav = 0, nat = 8, ntyp = 3
/
ATOMIC_SPECIES
Li 6.94 Li.upf
Cd 112.41 Cd.upf
Cu 63.55 Cu.upf
CELL_PARAMETERS angstrom
3.3761 0.0000 0.0000
0.0000 4.1908 0.0000
0.0000 0.0000 8.5443
ATOMIC_POSITIONS crystal
Li 0.0000 0.0000 0.2375
Li 0.0000 0.0000 0.7625
Li 0.5000 0.5000 0.2625
Li 0.5000 0.5000 0.7375
Cd 0.0000 0.5000 0.0000
Cd 0.5000 0.0000 0.5000
Cu 0.0000 0.5000 0.5000
Cu 0.5000 0.0000 0.0000
! SG: Immm
! Density of states at the Fermi level in states/eV/cell: 2.73
! ΔH_f (0 K) in meV/atom: -97.8
! Total moment in Bohr magnetons per cell: 0.00

=====

! Li2CdCu SCAN PBEsol geometry; values from VASP
&SYSTEM
  ibrav = 0, nat = 16, ntyp = 3
/
ATOMIC_SPECIES
Li 6.94 Li.upf
Cd 112.41 Cd.upf
Cu 63.55 Cu.upf
CELL_PARAMETERS angstrom
6.2087 0.0000 0.0000
0.0000 6.2087 0.0000
0.0000 0.0000 6.2087
ATOMIC_POSITIONS crystal
Li 0.0000 0.0000 0.0000
Li 0.0000 0.5000 0.5000
Li 0.2500 0.2500 0.2500
Li 0.2500 0.7500 0.7500
Li 0.5000 0.0000 0.5000
Li 0.5000 0.5000 0.0000
Li 0.7500 0.2500 0.7500
Li 0.7500 0.7500 0.2500
Cd 0.2500 0.2500 0.7500
Cd 0.2500 0.7500 0.2500
Cd 0.7500 0.2500 0.2500
Cd 0.7500 0.7500 0.7500
Cu 0.0000 0.0000 0.5000
Cu 0.0000 0.5000 0.0000
Cu 0.5000 0.0000 0.0000
Cu 0.5000 0.5000 0.5000
! SG: F-43m
! Density of states at the Fermi level in states/eV/cell: 5.35
! ΔH_f (0 K) in meV/atom: -151.4
! Total moment in Bohr magnetons per cell: 0.00

=====

! LiCd2Cu SCAN PBEsol geometry; values from VASP
&SYSTEM
  ibrav = 0, nat = 8, ntyp = 3
/
ATOMIC_SPECIES
Li 6.94 Li.upf
Cd 112.41 Cd.upf
Cu 63.55 Cu.upf
CELL_PARAMETERS angstrom
3.8167 0.0000 0.0000
0.0000 4.0171 0.0000
0.0000 0.0000 8.4271
ATOMIC_POSITIONS crystal
Li 0.0000 0.0000 0.0000
Li 0.5000 0.5000 0.5000
Cd 0.0000 0.0000 0.5081
Cd 0.0000 0.5000 0.7542
Cd 0.5000 0.0000 0.2542
Cd 0.5000 0.5000 0.0081
Cu 0.0000 0.5000 0.2546
Cu 0.5000 0.0000 0.7546
! SG: Imm2
! Density of states at the Fermi level in states/eV/cell: 1.95
! ΔH_f (0 K) in meV/atom: -94.9
! Total moment in Bohr magnetons per cell: 0.00

=====

Question: Look up the density of states at the Fermi level of the fourth one.
Answer: 1.10 states/eV/cell

=====

Question: Which of these has the lowest ΔH_f (0 K)?
Answer: LaCd2Cu

=====

Repeat the fourth record exactly.
! LiCd2Cu SCAN PBEsol geometry; values from VASP
&SYSTEM
  ibrav = 0, nat = 4, ntyp = 3
/
ATOMIC_SPECIES
Li 6.94 Li.upf
Cd 112.41 Cd.upf
Cu 63.55 Cu.upf
CELL_PARAMETERS angstrom
2.8226 0.0000 0.0000
0.0000 4.3560 0.0000
-1.3170 0.0000 5.2289
ATOMIC_POSITIONS crystal
Li 0.0000 0.0000 0.0000
Cd 0.2788 0.0000 0.5410
Cd 0.6069 0.5000 0.2149
Cu 0.8806 0.5000 0.7498
! SG: Pm
! Density of states at the Fermi level in states/eV/cell: 1.10
! ΔH_f (0 K) in meV/atom: -82.6
! Total moment in Bohr magnetons per cell: 0.00

=====

Question: The lowest density of states at the Fermi level belongs to which entry?
Answer: number 9